## BaMg6Tl12 (PBE-GGA)

Data for BaMg6Tl12 after structural relaxation.

Properties
magnetic moment = 0.00 μB/cell
DFT formation energy = -92 kJ/mol of formula units
offset from the most stable computed form = 0.0 meV/atom
density of states at the Fermi level = 0.46 states/eV/atom
space group = No. 148

abc: 9.0789 9.0789 9.0789
angles: 111.34 111.34 111.34
With the nearest neighbours (Å) after each atom.
Fractional positions:
Ba  0.0000  0.0000  0.0000  12 Tl 3.57-3.63
Mg  0.0432  0.5547  0.3412  9 Tl 3.17-3.46, 2 Mg 3.46
Mg  0.3412  0.0432  0.5547  9 Tl 3.17-3.46, 2 Mg 3.46
Mg  0.4453  0.6588  0.9568  9 Tl 3.17-3.46, 2 Mg 3.46
Mg  0.5547  0.3412  0.0432  9 Tl 3.17-3.46, 2 Mg 3.46
Mg  0.6588  0.9568  0.4453  9 Tl 3.17-3.46, 2 Mg 3.46
Mg  0.9568  0.4453  0.6588  9 Tl 3.17-3.46, 2 Mg 3.46
Tl  0.1118  0.1881  0.7365  5 Mg 3.17-3.42, 3 Tl 3.19-3.49
Tl  0.1881  0.7365  0.1118  5 Mg 3.17-3.42, 3 Tl 3.19-3.49
Tl  0.2075  0.3387  0.4939  4 Tl 3.19-3.32, 4 Mg 3.25-3.46, 1 Ba 3.57
Tl  0.2635  0.8882  0.8119  5 Mg 3.17-3.42, 3 Tl 3.19-3.49
Tl  0.3387  0.4939  0.2075  4 Tl 3.19-3.32, 4 Mg 3.25-3.46, 1 Ba 3.57
Tl  0.4939  0.2075  0.3387  4 Tl 3.19-3.32, 4 Mg 3.25-3.46, 1 Ba 3.57
Tl  0.5061  0.7925  0.6613  4 Tl 3.19-3.32, 4 Mg 3.25-3.46, 1 Ba 3.57
Tl  0.6613  0.5061  0.7925  4 Tl 3.19-3.32, 4 Mg 3.25-3.46, 1 Ba 3.57
Tl  0.7365  0.1118  0.1881  5 Mg 3.17-3.42, 3 Tl 3.19-3.49
Tl  0.7925  0.6613  0.5061  4 Tl 3.19-3.32, 4 Mg 3.25-3.46, 1 Ba 3.57
Tl  0.8118  0.2635  0.8882  5 Mg 3.17-3.42, 3 Tl 3.19-3.49
Tl  0.8882  0.8118  0.2635  5 Mg 3.17-3.42, 3 Tl 3.19-3.49